The following is a DFT calculation (PBE-GGA) of a relaxed Sr2SeCl crystal.

Structure (POSCAR):
```
Sr2SeCl
1.0
4.3471 0.0000 0.0000
2.1735 3.7647 0.0000
2.1735 1.2549 7.8444
Sr Se Cl
2 1 1
Cartesian
2.1735 1.2549 6.0292
2.1735 1.2549 1.7328
6.5206 3.7647 7.7083
4.3471 2.5098 4.1406
```

Properties
E above lowest polymorph ... 34 meV/atom
Symmetry ... R3m
Uncorrected formation energy ... -1803 meV/atom



The following is a DFT calculation (PBE-GGA) of a relaxed SrCaY crystal.

Structure (POSCAR):
```
SrCaY
1.0
9.8337 0.0174 -0.0125
8.8628 3.6312 0.0026
0.9709 -1.1282 3.4332
Y Sr Ca
1 1 1
Cartesian
6.9383 0.4799 2.2741
12.8823 2.0817 1.1195
18.5434 3.6072 0.0198
```

Properties
E_form ... 155 meV/atom
E above lowest polymorph ... 7 meV/atom
Symmetry ... Fmm2



The following is a DFT calculation (PBE-GGA) of a relaxed YCu4Rh2 crystal.

Structure (POSCAR):
```
YCu4Rh2
1.0
-0.9489 -2.8707 3.5306
-2.9896 -2.3256 -2.6945
2.8098 -6.5280 -1.4927
Y Rh Cu
1 2 4
Cartesian
0.0000 0.0000 0.0000
-0.1466 -8.3144 -0.6800
-0.9821 -3.4099 0.0234
-1.9413 -6.8386 0.0376
0.8126 -4.8857 -0.6942
-1.4948 -1.1628 -1.3472
-0.4745 -1.4354 1.7653
```

Properties
E_form ... 1008 meV/atom
E above lowest polymorph ... 1228 meV/atom
Symmetry ... I4/mmm



The following is a DFT calculation (PBE-GGA) of a relaxed BeWCl2 crystal.

Structure (POSCAR):
```
BeWCl2
1.0
-2.0431 -1.3573 -1.6792
2.0983 -0.7030 -1.9847
1.5089 -7.5558 4.2715
Be W Cl
1 1 2
Cartesian
1.1593 -6.6970 1.3716
0.4048 -2.9191 -0.7641
0.1168 -0.5851 0.3308
0.6376 -3.1928 1.8050
```

Properties
E above lowest polymorph ... 1176 meV/atom
Symmetry ... P4/mmm
Uncorrected formation energy ... 997 meV/atom



The following is a DFT calculation (PBE-GGA) of a relaxed OsPd2Rh crystal.

Structure (POSCAR):
```
OsPd2Rh
1.0
0.0000 3.0992 3.0992
3.0992 0.0000 3.0992
3.0992 3.0992 0.0000
Rh Os Pd
1 1 2
Cartesian
0.0000 0.0000 0.0000
3.0992 3.0992 3.0992
1.5496 1.5496 1.5496
4.6488 4.6488 4.6488
```

Properties
E_form ... 478 meV/atom
E above lowest polymorph ... 406 meV/atom
Symmetry ... Fm-3m



The following is a DFT calculation (PBE-GGA) of a relaxed Sn2Sb3 crystal.

Structure (POSCAR):
```
Sn2Sb3
1.0
-5.7140 0.0559 4.6404
0.1839 -4.0948 6.1143
1.2117 4.3063 7.2786
Sb Sn
6 4
Cartesian
1.0420 0.1586 10.0485
-3.2850 1.2276 11.9914
-1.9435 3.2543 7.7804
-1.0335 -0.9602 6.0419
-2.3751 -2.9869 10.2530
-5.3605 0.1088 7.9848
-4.2725 -1.7119 12.2753
-0.9016 2.4606 10.5373
-0.0460 1.9793 5.7581
-3.4169 -2.1933 7.4961
```

Properties
Symmetry ... R-3c
Uncorrected formation energy ... 207 meV/atom